CsDySe3: relaxed, PBE.

Cell lengths 7.5383, 7.8647, 7.9115 Å; angles 68.32, 74.04, 73.18 degrees
Fractional coordinates of all 10 atoms:
Cs: 0.1090 0.1766 0.1592
Cs: 0.8910 0.8234 0.8408
Dy: 0.2653 0.4529 0.4833
Dy: 0.7347 0.5471 0.5167
Se: 0.0162 0.7260 0.2867
Se: 0.3684 0.5349 0.7556
Se: 0.4806 0.8473 0.6349
Se: 0.5194 0.1527 0.3651
Se: 0.6316 0.4651 0.2444
Se: 0.9838 0.2740 0.7133

## Properties
Final energy = -44.4 eV for the cell shown
Volume = 410 Å³ per cell

NaCo3: relaxed, PBE.

Cell lengths 5.7627, 5.7627, 4.0367 Å; angles 90.00, 90.00, 120.00 degrees
Fractional coordinates of all 8 atoms:
Na: 0.3333 0.6667 0.2500
Na: 0.6667 0.3333 0.7500
Co: 0.1369 0.2738 0.7500
Co: 0.1369 0.8631 0.7500
Co: 0.2738 0.1369 0.2500
Co: 0.7262 0.8631 0.7500
Co: 0.8631 0.1369 0.2500
Co: 0.8631 0.7262 0.2500

## Properties
Final energy = -40.0 eV for the cell shown
Volume = 116 Å³ per cell

Li4Ag2BiAs: relaxed, PBE.

Cell lengths 4.5983, 4.5983, 6.6004 Å; angles 90.00, 90.00, 90.00 degrees
Fractional coordinates of all 8 atoms:
Li: 0.0000 0.0000 0.0000
Li: 0.0000 0.5000 0.2284
Li: 0.5000 0.0000 0.7716
Li: 0.5000 0.5000 0.5000
Ag: 0.0000 0.5000 0.7729
Ag: 0.5000 0.0000 0.2271
Bi: 0.0000 0.0000 0.5000
As: 0.5000 0.5000 0.0000

## Properties
Final energy = -25.2 eV for the cell shown
Volume = 140 Å³ per cell

ScAgTe2PbSe: relaxed, PBE.

Cell lengths 7.5727, 7.5727, 10.4429 Å; angles 90.00, 90.00, 147.84 degrees
Fractional coordinates of all 12 atoms:
Sc: 0.0000 0.0000 0.0000
Sc: 0.0000 0.0000 0.5000
Ag: 0.4727 0.5273 0.7500
Ag: 0.5273 0.4727 0.2500
Te: 0.3562 0.6438 0.5427
Te: 0.3562 0.6438 0.9573
Te: 0.6438 0.3562 0.0427
Te: 0.6438 0.3562 0.4573
Pb: 0.2518 0.7482 0.2500
Pb: 0.7482 0.2518 0.7500
Se: 0.0818 0.9182 0.7500
Se: 0.9182 0.0818 0.2500

## Properties
Final energy = -53.5 eV for the cell shown
Volume = 319 Å³ per cell

LiHoZnSe3: relaxed, PBE.

Cell lengths 10.8578, 3.9795, 13.1721 Å; angles 90.00, 90.00, 90.00 degrees
Fractional coordinates of all 24 atoms:
Li: 0.2089 0.2500 0.0200
Li: 0.2911 0.7500 0.5200
Li: 0.7089 0.2500 0.4800
Li: 0.7911 0.7500 0.9800
Ho: 0.0120 0.7500 0.7441
Ho: 0.4880 0.2500 0.2441
Ho: 0.5120 0.7500 0.7559
Ho: 0.9880 0.2500 0.2559
Zn: 0.2401 0.7500 0.2250
Zn: 0.2599 0.2500 0.7250
Zn: 0.7401 0.7500 0.2750
Zn: 0.7599 0.2500 0.7750
Se: 0.0610 0.7500 0.1112
Se: 0.0870 0.2500 0.6071
Se: 0.2406 0.2500 0.3410
Se: 0.2594 0.7500 0.8410
Se: 0.4130 0.7500 0.1071
Se: 0.4390 0.2500 0.6112
Se: 0.5610 0.7500 0.3888
Se: 0.5870 0.2500 0.8929
Se: 0.7406 0.2500 0.1590
Se: 0.7594 0.7500 0.6590
Se: 0.9130 0.7500 0.3929
Se: 0.9390 0.2500 0.8888

## Properties
Final energy = -103.3 eV for the cell shown
Volume = 569 Å³ per cell

LiNdHg: relaxed, PBE.

Cell lengths 4.9816, 4.9816, 4.9816 Å; angles 60.00, 60.00, 60.00 degrees
Fractional coordinates of all 3 atoms:
Li: 0.0000 0.0000 0.0000
Nd: 0.5000 0.5000 0.5000
Hg: 0.2500 0.2500 0.2500

## Properties
Volume = 87 Å³ per cell
Excess energy over the best structure of this formula in the dataset = 63 kJ/mol of formula units

LuTaSn2Pd2: relaxed, PBE.

Cell lengths 4.4752, 8.9833, 6.3715 Å; angles 90.00, 90.00, 90.00 degrees
Fractional coordinates of all 12 atoms:
Lu: 0.0000 0.1221 0.0000
Lu: 0.5000 0.8779 0.5000
Ta: 0.0000 0.6261 0.9994
Ta: 0.5000 0.3739 0.4994
Sn: 0.0000 0.1297 0.5065
Sn: 0.0000 0.6225 0.4917
Sn: 0.5000 0.3775 0.9917
Sn: 0.5000 0.8703 0.0065
Pd: 0.0000 0.3861 0.7433
Pd: 0.0000 0.8619 0.7575
Pd: 0.5000 0.1381 0.2575
Pd: 0.5000 0.6139 0.2433

## Properties
Final energy = -76.4 eV for the cell shown
Volume = 256 Å³ per cell

AlIrPt: relaxed, PBE.

Cell lengths 4.2315, 4.2315, 4.2315 Å; angles 60.00, 60.00, 60.00 degrees
Fractional coordinates of all 3 atoms:
Al: 0.0000 0.0000 0.0000
Ir: 0.2500 0.2500 0.2500
Pt: 0.5000 0.5000 0.5000

## Properties
Volume = 54 Å³ per cell
Excess energy over the best structure of this formula in the dataset = 0 kJ/mol of formula units

ThHgOs: relaxed, PBE.

Cell lengths 4.7668, 4.7668, 4.7668 Å; angles 60.00, 60.00, 60.00 degrees
Fractional coordinates of all 3 atoms:
Th: 0.0000 0.0000 0.0000
Hg: 0.7500 0.7500 0.7500
Os: 0.5000 0.5000 0.5000

## Properties
ΔE_f = 0.623 eV per atom
Volume = 77 Å³ per cell
Excess energy over the best structure of this formula in the dataset = 0 kJ/mol of formula units

InGaCu2S4: relaxed, PBE.

Cell lengths 6.6718, 6.6718, 6.6718 Å; angles 131.55, 131.55, 70.94 degrees
Fractional coordinates of all 8 atoms:
In: 0.0000 0.0000 0.0000
Ga: 0.7500 0.2500 0.5000
Cu: 0.2500 0.7500 0.5000
Cu: 0.5000 0.5000 0.0000
S: 0.1335 0.6032 0.9993
S: 0.3968 0.3961 0.5303
S: 0.6039 0.1342 0.0007
S: 0.8658 0.8665 0.4697

## Properties
Final energy = -34.0 eV for the cell shown
Volume = 163 Å³ per cell

Cu7Ag3: relaxed, PBE.

Cell lengths 4.6542, 4.6670, 7.0879 Å; angles 108.51, 102.64, 99.89 degrees
Fractional coordinates of all 10 atoms:
Cu: 0.0000 0.0000 0.0000
Cu: 0.0742 0.1789 0.6874
Cu: 0.1927 0.3816 0.3869
Cu: 0.2894 0.5795 0.0992
Cu: 0.4853 0.9885 0.4868
Cu: 0.5749 0.1819 0.1987
Cu: 0.7723 0.5719 0.5809
Ag: 0.3676 0.7766 0.7859
Ag: 0.6940 0.3826 0.8893
Ag: 0.8895 0.7902 0.2978

## Properties
ΔE_f = 0.089 eV per atom
Volume = 138 Å³ per cell
Excess energy over the best structure of this formula in the dataset = 43 kJ/mol of formula units

BaNbS3: relaxed, PBE.

Cell lengths 6.9099, 6.9099, 5.7335 Å; angles 90.00, 90.00, 120.00 degrees
Fractional coordinates of all 10 atoms:
Ba: 0.3333 0.6667 0.2500
Ba: 0.6667 0.3333 0.7500
Nb: 0.0000 0.0000 0.0000
Nb: 0.0000 0.0000 0.5000
S: 0.1718 0.3437 0.7500
S: 0.1718 0.8282 0.7500
S: 0.3437 0.1718 0.2500
S: 0.6563 0.8282 0.7500
S: 0.8282 0.1718 0.2500
S: 0.8282 0.6563 0.2500

## Properties
Final energy = -63.3 eV for the cell shown
Volume = 237 Å³ per cell

ErNiBi: relaxed, PBE.

Cell lengths 7.1365, 7.1365, 4.3878 Å; angles 90.00, 90.00, 120.00 degrees
Fractional coordinates of all 9 atoms:
Er: 0.0000 0.5687 0.0000
Er: 0.4313 0.4313 0.0000
Er: 0.5687 0.0000 0.0000
Ni: 0.0000 0.2489 0.5000
Ni: 0.2489 0.0000 0.5000
Ni: 0.7511 0.7511 0.5000
Bi: 0.0000 0.0000 0.0000
Bi: 0.3333 0.6667 0.5000
Bi: 0.6667 0.3333 0.5000

## Properties
Final energy = -46.3 eV for the cell shown
Volume = 194 Å³ per cell

TlPd2W: relaxed, PBE.

Cell lengths 4.5817, 4.5817, 4.5817 Å; angles 60.00, 60.00, 60.00 degrees
Fractional coordinates of all 4 atoms:
Tl: 0.0000 0.0000 0.0000
Pd: 0.5000 0.5000 0.5000
Pd: 0.7500 0.7500 0.7500
W: 0.2500 0.2500 0.2500

## Properties
Final energy = -23.8 eV for the cell shown
Volume = 68 Å³ per cell

Sm3Tm3NiTe2: relaxed, PBE.

Cell lengths 8.5025, 8.5025, 3.8685 Å; angles 90.00, 90.00, 120.00 degrees
Fractional coordinates of all 9 atoms:
Sm: 0.0000 0.7567 0.0000
Sm: 0.2433 0.2433 0.0000
Sm: 0.7567 0.0000 0.0000
Tm: 0.0000 0.4036 0.5000
Tm: 0.4036 0.0000 0.5000
Tm: 0.5964 0.5964 0.5000
Ni: 0.0000 0.0000 0.5000
Te: 0.3333 0.6667 0.0000
Te: 0.6667 0.3333 0.0000

## Properties
Volume = 242 Å³ per cell
Excess energy over the best structure of this formula in the dataset = 87 kJ/mol of formula units

Y3Tm3Te2Os: relaxed, PBE.

Cell lengths 8.2656, 8.2656, 4.0373 Å; angles 90.00, 90.00, 120.00 degrees
Fractional coordinates of all 9 atoms:
Y: 0.0000 0.2429 0.0000
Y: 0.2429 0.0000 0.0000
Y: 0.7571 0.7571 0.0000
Tm: 0.0000 0.6133 0.5000
Tm: 0.3867 0.3867 0.5000
Tm: 0.6133 0.0000 0.5000
Te: 0.3333 0.6667 0.0000
Te: 0.6667 0.3333 0.0000
Os: 0.0000 0.0000 0.5000

## Properties
Volume = 239 Å³ per cell
Excess energy over the best structure of this formula in the dataset = 67 kJ/mol of formula units

ZrBeCdNi: relaxed, PBE.

Cell lengths 4.4471, 4.4471, 4.4471 Å; angles 60.00, 60.00, 60.00 degrees
Fractional coordinates of all 4 atoms:
Zr: 0.0000 0.0000 0.0000
Be: 0.2500 0.2500 0.2500
Cd: 0.7500 0.7500 0.7500
Ni: 0.5000 0.5000 0.5000

## Properties
Volume = 62 Å³ per cell
Excess energy over the best structure of this formula in the dataset = 94 kJ/mol of formula units

BSbIrAu: relaxed, PBE.

Cell lengths 4.5022, 4.5022, 4.5022 Å; angles 60.00, 60.00, 60.00 degrees
Fractional coordinates of all 4 atoms:
B: 0.0000 0.0000 0.0000
Sb: 0.5000 0.5000 0.5000
Ir: 0.7500 0.7500 0.7500
Au: 0.2500 0.2500 0.2500

## Properties
Volume = 65 Å³ per cell
Excess energy over the best structure of this formula in the dataset = 0 kJ/mol of formula units

CoMo4PbC2: relaxed, PBE.

Cell lengths 3.1320, 3.1320, 13.2260 Å; angles 90.00, 90.00, 120.00 degrees
Fractional coordinates of all 8 atoms:
Co: 0.0000 0.0000 0.0000
Mo: 0.0000 0.0000 0.3109
Mo: 0.0000 0.0000 0.6891
Mo: 0.6667 0.3333 0.1409
Mo: 0.6667 0.3333 0.8591
Pb: 0.6667 0.3333 0.5000
C: 0.3333 0.6667 0.2294
C: 0.3333 0.6667 0.7706

## Properties
Final energy = -70.9 eV for the cell shown
Volume = 112 Å³ per cell

B4PtW: relaxed, PBE.

Cell lengths 2.9947, 2.9947, 7.2522 Å; angles 90.00, 90.00, 120.00 degrees
Fractional coordinates of all 6 atoms:
B: 0.3333 0.6667 0.2310
B: 0.3333 0.6667 0.7690
B: 0.6667 0.3333 0.2310
B: 0.6667 0.3333 0.7690
Pt: 0.0000 0.0000 0.5000
W: 0.0000 0.0000 0.0000

## Properties
Volume = 56 Å³ per cell
Excess energy over the best structure of this formula in the dataset = 0 kJ/mol of formula units